1.
Material: Nd2Y6Ho
Method: DFT, GGA-PBE
State: relaxed

Values from the calculation:
Formation energy (meV/atom): 97
E (eV/atom): -5.781
D(E_F) (states/eV per atom): 1.507
Distance to the lowest polymorph of the same formula (eV per atom): 0.0277

Lattice parameters (Å, degrees): 16.598 11.675 6.118 90.00 96.68 90.00
Space group C2/c (No. 15)
One atom of each set of equivalent atoms:
1 Nd 0.168 0.102 0.077 x8
2 Y 0.048 0.139 0.514 x8
3 Y 0.115 0.361 0.821 x8
4 Y 0.211 0.365 0.354 x8
5 Ho 0.000 0.401 0.250 x4

2.
Material: Nd3Y2Ho4
Method: DFT, GGA-PBE
State: relaxed

Values from the calculation:
Formation energy (meV/atom): 100
E (eV/atom): -4.961
D(E_F) (states/eV per atom): 1.554
Distance to the lowest polymorph of the same formula (eV per atom): 0.0799

Lattice parameters (Å, degrees): 16.380 11.721 6.161 90.00 97.06 90.00
Space group C2/c (No. 15)
One atom of each set of equivalent atoms:
1 Nd 0.000 0.146 0.250 x4
2 Nd 0.166 0.361 0.084 x8
3 Y 0.108 0.117 0.793 x8
4 Ho 0.059 0.382 0.540 x8
5 Ho 0.227 0.121 0.369 x8

3.
Material: NdY3Ho3
Method: DFT, GGA-PBE
State: relaxed

Values from the calculation:
Formation energy (meV/atom): 138
E (eV/atom): -5.276
D(E_F) (states/eV per atom): 1.608
Distance to the lowest polymorph of the same formula (eV per atom): 0.1275

Lattice parameters (Å, degrees): 6.1893 6.1893 42.7882 90.00 90.00 120.00
Space group R-3 (No. 148, hexagonal axes)
One atom of each set of equivalent atoms:
1 Nd 0.0000 0.0000 0.1667 x6
2 Y 0.9997 0.3331 0.0987 x18
3 Ho 0.0001 0.3320 0.6336 x18

4.
Material: Nd6Y3Ho
Method: DFT, GGA-PBE
State: relaxed

Values from the calculation:
Formation energy (meV/atom): 63
E (eV/atom): -5.195
D(E_F) (states/eV per atom): 1.486
Distance to the lowest polymorph of the same formula (eV per atom): 0.0000

Lattice parameters (Å, degrees): 11.805 3.587 17.063 90.00 108.63 90.00
Space group P2_1/m (No. 11)
One atom of each set of equivalent atoms:
1 Nd 0.100 0.250 0.257 x2
2 Nd 0.126 0.250 0.675 x2
3 Nd 0.153 0.250 0.894 x2
4 Nd 0.360 0.750 0.617 x2
5 Nd 0.365 0.750 0.409 x2
6 Nd 0.400 0.750 0.042 x2
7 Y 0.121 0.250 0.468 x2
8 Y 0.125 0.750 0.075 x2
9 Y 0.367 0.250 0.215 x2
10 Ho 0.356 0.750 0.822 x2

5.
Material: Nd5Y12Ho2
Method: DFT, GGA-PBE
State: relaxed

Values from the calculation:
Formation energy (meV/atom): 211
E (eV/atom): -5.608
D(E_F) (states/eV per atom): 1.553
Distance to the lowest polymorph of the same formula (eV per atom): 0.1383

Lattice parameters (Å, degrees): 17.863 9.196 8.724 90.00 115.94 90.00
Space group C2/m (No. 12)
One atom of each set of equivalent atoms:
1 Nd 0.000 0.000 0.000 x2
2 Nd 0.212 0.500 0.725 x4
3 Nd 0.237 0.000 0.795 x4
4 Y 0.046 0.000 0.682 x4
5 Y 0.062 0.500 0.220 x4
6 Y 0.127 0.277 0.956 x8
7 Y 0.145 0.184 0.409 x8
8 Ho 0.000 0.328 0.500 x4

6.
Material: Nd2YHo6
Method: DFT, GGA-PBE
State: relaxed

Values from the calculation:
Formation energy (meV/atom): 108
E (eV/atom): -4.722
D(E_F) (states/eV per atom): 1.409
Distance to the lowest polymorph of the same formula (eV per atom): 0.0369

Lattice parameters (Å, degrees): 10.656 17.563 6.204 90.00 94.83 90.00
Space group C2/c (No. 15)
One atom of each set of equivalent atoms:
1 Nd 0.250 0.102 0.000 x8
2 Y 0.000 0.250 0.750 x4
3 Ho 0.089 0.076 0.497 x8
4 Ho 0.089 0.423 0.498 x8
5 Ho 0.155 0.250 0.281 x8

7.
Material: Nd2Y2Ho
Method: DFT, GGA-PBE
State: relaxed

Values from the calculation:
Formation energy (meV/atom): 134
E (eV/atom): -5.274
D(E_F) (states/eV per atom): 1.445
Distance to the lowest polymorph of the same formula (eV per atom): 0.1182

Lattice parameters (Å, degrees): 3.672 5.765 31.787 90.00 90.00 90.00
Space group Imma (No. 74)
One atom of each set of equivalent atoms:
1 Nd 0.000 0.250 0.022 x4
2 Nd 0.000 0.250 0.121 x4
3 Y 0.000 0.250 0.292 x4
4 Y 0.000 0.250 0.805 x4
5 Ho 0.000 0.250 0.581 x4

8.
Material: Nd3Y3Ho
Method: DFT, GGA-PBE
State: relaxed

Values from the calculation:
Formation energy (meV/atom): 167
E (eV/atom): -5.300
D(E_F) (states/eV per atom): 1.632
Distance to the lowest polymorph of the same formula (eV per atom): 0.0000

Lattice parameters (Å, degrees): 6.2639 6.2639 43.4014 90.00 90.00 120.00
Space group R-3 (No. 148, hexagonal axes)
One atom of each set of equivalent atoms:
1 Nd 0.0002 0.3310 0.1311 x18
2 Y 0.9997 0.3332 0.2689 x18
3 Ho 0.0000 0.0000 0.3333 x6

9.
Material: NdY12Ho6
Method: DFT, GGA-PBE
State: relaxed

Values from the calculation:
Formation energy (meV/atom): 151
E (eV/atom): -5.628
D(E_F) (states/eV per atom): 1.774
Distance to the lowest polymorph of the same formula (eV per atom): 0.1278

Lattice parameters (Å, degrees): 11.8877 11.8877 15.3097 90.00 90.00 120.00
Space group R-3 (No. 148, hexagonal axes)
One atom of each set of equivalent atoms:
1 Nd 0.0000 0.0000 0.0000 x3
2 Y 0.0141 0.8327 0.1909 x18
3 Y 0.0416 0.8508 0.4150 x18
4 Ho 0.0108 0.4239 0.6796 x18

10.
Material: Nd5Y2Ho6
Method: DFT, GGA-PBE
State: relaxed

Values from the calculation:
Formation energy (meV/atom): 93
E (eV/atom): -4.848
D(E_F) (states/eV per atom): 1.272

Lattice parameters (Å, degrees): 11.711 20.547 3.600 90.00 90.00 90.00
Space group Pbam (No. 55)
One atom of each set of equivalent atoms:
1 Nd 0.000 0.000 0.000 x2
2 Nd 0.088 0.274 0.000 x4
3 Nd 0.200 0.550 0.000 x4
4 Y 0.169 0.712 0.500 x4
5 Ho 0.060 0.419 0.500 x4
6 Ho 0.080 0.133 0.500 x4
7 Ho 0.176 0.864 0.000 x4

11.
Material: Nd2Y6Ho
Method: DFT, GGA-PBE
State: relaxed

Values from the calculation:
Formation energy (meV/atom): 69
E (eV/atom): -5.809
D(E_F) (states/eV per atom): 1.684
Distance to the lowest polymorph of the same formula (eV per atom): 0.0000

Lattice parameters (Å, degrees): 9.810 17.235 6.955 90.00 90.00 90.00
Space group Ibam (No. 72)
One atom of each set of equivalent atoms:
1 Nd 0.000 0.167 0.250 x8
2 Y 0.165 0.327 0.000 x8
3 Y 0.169 0.008 0.500 x8
4 Y 0.169 0.342 0.500 x8
5 Ho 0.000 0.500 0.250 x4

12.
Material: Nd5Y3Ho3
Method: DFT, GGA-PBE
State: relaxed

Values from the calculation:
Formation energy (meV/atom): 782
E (eV/atom): -4.396
D(E_F) (states/eV per atom): 1.777
Distance to the lowest polymorph of the same formula (eV per atom): 0.4569

Lattice parameters (Å, degrees): 9.7595 9.7595 5.6013 90.00 90.00 120.00
Space group P-62m (No. 189)
One atom of each set of equivalent atoms:
1 Nd 0.0000 0.7311 0.0000 x3
2 Nd 0.3333 0.6667 0.0000 x2
3 Y 0.0000 0.5398 0.5000 x3
4 Ho 0.0000 0.3653 0.0000 x3

13.
Material: Nd6YHo12
Method: DFT, GGA-PBE
State: relaxed

Values from the calculation:
Formation energy (meV/atom): 127
E (eV/atom): -4.610
D(E_F) (states/eV per atom): 1.560
Distance to the lowest polymorph of the same formula (eV per atom): 0.0000

Lattice parameters (Å, degrees): 11.1133 11.1133 17.5184 90.00 90.00 120.00
Space group R-3m (No. 166, hexagonal axes)
One atom of each set of equivalent atoms:
1 Nd 0.0681 0.5340 0.2670 x18
2 Y 0.0000 0.0000 0.5000 x3
3 Ho 0.1011 0.5506 0.9137 x18
4 Ho 0.1059 0.2118 0.9077 x18

14.
Material: Nd7Y3Ho
Method: DFT, GGA-PBE
State: relaxed

Values from the calculation:
Formation energy (meV/atom): 227
E (eV/atom): -4.986
D(E_F) (states/eV per atom): 1.360
Distance to the lowest polymorph of the same formula (eV per atom): 0.0443

Lattice parameters (Å, degrees): 12.887 11.403 5.931 90.00 117.34 90.00
Space group C2/m (No. 12)
One atom of each set of equivalent atoms:
1 Nd 0.000 0.000 0.000 x2
2 Nd 0.193 0.289 0.693 x8
3 Nd 0.211 0.500 0.210 x4
4 Y 0.000 0.296 0.000 x4
5 Y 0.000 0.500 0.500 x2
6 Ho 0.000 0.000 0.500 x2

15.
Material: Nd10Y4Ho
Method: DFT, GGA-PBE
State: relaxed

Values from the calculation:
Formation energy (meV/atom): 712
E (eV/atom): -4.496
D(E_F) (states/eV per atom): 1.487

Lattice parameters (Å, degrees): 12.422 12.422 7.845 90.00 90.00 90.00
Space group I4/m (No. 87)
One atom of each set of equivalent atoms:
1 Nd 0.000 0.500 0.250 x4
2 Nd 0.099 0.801 0.249 x16
3 Y 0.100 0.300 0.500 x8
4 Ho 0.000 0.000 0.000 x2

16.
Material: Nd4Y2Ho3
Method: DFT, GGA-PBE
State: relaxed

Values from the calculation:
Formation energy (meV/atom): 51
E (eV/atom): -5.031
D(E_F) (states/eV per atom): 1.721
Distance to the lowest polymorph of the same formula (eV per atom): 0.0000

Lattice parameters (Å, degrees): 17.417 3.570 9.793 90.00 100.87 90.00
Space group C2/m (No. 12)
One atom of each set of equivalent atoms:
1 Nd 0.000 0.000 0.169 x4
2 Nd 0.162 0.000 0.719 x4
3 Y 0.177 0.000 0.380 x4
4 Ho 0.000 0.500 0.500 x2
5 Ho 0.163 0.500 0.045 x4

17.
Material: Nd3Y6Ho
Method: DFT, GGA-PBE
State: relaxed

Values from the calculation:
Formation energy (meV/atom): 255
E (eV/atom): -5.512
D(E_F) (states/eV per atom): 2.049
Distance to the lowest polymorph of the same formula (eV per atom): 0.1130

Lattice parameters (Å, degrees): 9.9600 9.9600 11.7129 90.00 90.00 120.00
Space group R3 (No. 146, hexagonal axes)
One atom of each set of equivalent atoms:
1 Nd 0.0000 0.0000 0.0000 x3
2 Nd 0.0000 0.0000 0.2505 x3
3 Nd 0.0000 0.0000 0.5002 x3
4 Y 0.0030 0.3290 0.4993 x9
5 Y 0.0076 0.6700 0.6658 x9
6 Ho 0.0000 0.0000 0.7503 x3

18.
Material: Nd7Y2Ho2
Method: DFT, GGA-PBE
State: relaxed

Values from the calculation:
Formation energy (meV/atom): 137
E (eV/atom): -4.905
D(E_F) (states/eV per atom): 1.437
Distance to the lowest polymorph of the same formula (eV per atom): 0.0000

Lattice parameters (Å, degrees): 11.538 11.539 6.143 90.00 112.11 90.00
Space group C2/m (No. 12)
One atom of each set of equivalent atoms:
1 Nd 0.000 0.000 0.000 x2
2 Nd 0.076 0.500 0.801 x4
3 Nd 0.182 0.231 0.179 x8
4 Y 0.000 0.213 0.500 x4
5 Ho 0.231 0.000 0.588 x4